# 1
VASP calculation (PBE) on an optimized crystal structure of LiTlBr2. Values from VASP.

The structure in Quantum ESPRESSO input format:
```
&SYSTEM
  ibrav = 0, nat = 8, ntyp = 3
/
ATOMIC_SPECIES
Li 6.94 Li.upf
Tl 204.38 Tl.upf
Br 79.90 Br.upf
CELL_PARAMETERS angstrom
-3.780 3.780 4.433
3.780 -3.780 4.433
3.780 3.780 -4.433
ATOMIC_POSITIONS angstrom
Li 0.000 0.000 0.000
Li 0.000 3.780 2.217
Tl 3.780 0.000 2.217
Tl 0.000 0.000 4.433
Br 5.670 1.307 -1.108
Br 1.307 1.890 1.108
Br -1.890 2.472 3.325
Br 2.472 1.890 5.542
```

total moment	0.00	μB/cell
formation energy (no corrections)	-1.162	eV per atom
energy above the lowest structure with this stoichiometry	0.05	eV per formula unit


# 2
VASP calculation (PBE) on an optimized crystal structure of LiTlBr2. Values from VASP.

The structure in Quantum ESPRESSO input format:
```
&SYSTEM
  ibrav = 0, nat = 4, ntyp = 3
/
ATOMIC_SPECIES
Li 6.94 Li.upf
Tl 204.38 Tl.upf
Br 79.90 Br.upf
CELL_PARAMETERS angstrom
4.066 0.000 0.000
-0.014 4.067 0.000
-2.026 -2.030 7.094
ATOMIC_POSITIONS angstrom
Li 0.000 0.000 0.000
Tl -0.003 2.023 3.548
Br 2.032 -0.004 1.567
Br 2.033 0.003 5.530
```

total moment	0.00	μB/cell
formation energy (no corrections)	-1.167	eV per atom
energy above the lowest structure with this stoichiometry	0.03	eV per formula unit


# 3
VASP calculation (PBE) on an optimized crystal structure of Li2Tl2Br. Values from VASP.

The structure in Quantum ESPRESSO input format:
```
&SYSTEM
  ibrav = 0, nat = 10, ntyp = 3
/
ATOMIC_SPECIES
Li 6.94 Li.upf
Tl 204.38 Tl.upf
Br 79.90 Br.upf
CELL_PARAMETERS angstrom
6.947 0.000 0.000
0.000 6.947 0.000
0.000 0.000 5.363
ATOMIC_POSITIONS angstrom
Li 1.111 2.363 0.000
Li 2.363 5.836 0.000
Li 4.584 1.111 0.000
Li 5.836 4.584 0.000
Tl 1.072 4.545 2.682
Tl 2.402 1.072 2.682
Tl 4.545 5.875 2.682
Tl 5.875 2.402 2.682
Br 0.000 0.000 0.000
Br 3.474 3.474 0.000
```

total moment	0.00	μB/cell
formation energy (no corrections)	-0.427	eV per atom


# 4
VASP calculation (PBE) on an optimized crystal structure of Li2TlBr4. Values from VASP.

The structure in Quantum ESPRESSO input format:
```
&SYSTEM
  ibrav = 0, nat = 7, ntyp = 3
/
ATOMIC_SPECIES
Li 6.94 Li.upf
Tl 204.38 Tl.upf
Br 79.90 Br.upf
CELL_PARAMETERS angstrom
5.982 0.000 0.000
0.000 5.982 0.000
0.000 0.000 6.379
ATOMIC_POSITIONS angstrom
Li 0.000 2.991 0.000
Li 2.991 0.000 0.000
Tl 0.000 0.000 3.189
Br 1.623 1.623 4.951
Br 1.623 4.359 1.427
Br 4.359 1.623 1.427
Br 4.359 4.359 4.951
```

total moment	0.00	μB/cell
formation energy (no corrections)	-1.070	eV per atom
energy above the lowest structure with this stoichiometry	0.03	eV per formula unit


# 5
VASP calculation (PBE) on an optimized crystal structure of LiTl2Br3. Values from VASP.

The structure in Quantum ESPRESSO input format:
```
&SYSTEM
  ibrav = 0, nat = 24, ntyp = 3
/
ATOMIC_SPECIES
Li 6.94 Li.upf
Tl 204.38 Tl.upf
Br 79.90 Br.upf
CELL_PARAMETERS angstrom
9.483 0.000 0.000
0.000 4.511 0.000
0.000 0.000 18.405
ATOMIC_POSITIONS angstrom
Li 1.238 1.128 2.445
Li 3.503 3.383 11.647
Li 5.979 1.128 6.758
Li 8.245 3.383 15.961
Tl 0.731 1.128 13.169
Tl 2.301 1.128 8.458
Tl 2.441 3.383 17.660
Tl 4.011 3.383 3.966
Tl 5.472 1.128 14.439
Tl 7.042 1.128 0.745
Tl 7.182 3.383 9.948
Tl 8.752 3.383 5.237
Br 0.095 3.383 1.850
Br 1.228 3.383 10.518
Br 1.716 1.128 4.947
Br 3.025 3.383 14.150
Br 3.513 1.128 1.315
Br 4.647 1.128 11.053
Br 4.836 3.383 7.352
Br 5.970 3.383 17.090
Br 6.458 1.128 4.256
Br 7.767 3.383 13.458
Br 8.254 1.128 7.888
Br 9.388 1.128 16.555
```

total moment	0.00	μB/cell
formation energy (no corrections)	-1.080	eV per atom


# 6
VASP calculation (PBE) on an optimized crystal structure of Li2TlBr4. Values from VASP.

The structure in Quantum ESPRESSO input format:
```
&SYSTEM
  ibrav = 0, nat = 7, ntyp = 3
/
ATOMIC_SPECIES
Li 6.94 Li.upf
Tl 204.38 Tl.upf
Br 79.90 Br.upf
CELL_PARAMETERS angstrom
6.914 -2.305 0.000
6.914 2.305 0.000
-1.567 0.000 6.848
ATOMIC_POSITIONS angstrom
Li 2.312 0.000 0.556
Li 9.949 0.000 6.293
Tl 6.131 0.000 3.424
Br 0.997 0.000 2.729
Br 4.896 0.000 0.579
Br 7.365 0.000 6.269
Br 11.264 0.000 4.119
```

total moment	0.00	μB/cell
formation energy (no corrections)	-1.074	eV per atom
energy above the lowest structure with this stoichiometry	0.00	eV per formula unit


# 7
VASP calculation (PBE) on an optimized crystal structure of LiTlBr2. Values from VASP.

The structure in Quantum ESPRESSO input format:
```
&SYSTEM
  ibrav = 0, nat = 4, ntyp = 3
/
ATOMIC_SPECIES
Li 6.94 Li.upf
Tl 204.38 Tl.upf
Br 79.90 Br.upf
CELL_PARAMETERS angstrom
2.081 1.202 7.596
-2.081 1.202 7.596
0.000 -2.403 7.596
ATOMIC_POSITIONS angstrom
Li 0.000 0.000 0.000
Tl 0.000 0.000 18.962
Br 0.000 0.000 9.075
Br 0.000 0.000 13.676
```

total moment	0.00	μB/cell
formation energy (no corrections)	-1.139	eV per atom
energy above the lowest structure with this stoichiometry	0.14	eV per formula unit


# 8
VASP calculation (PBE) on an optimized crystal structure of LiTl2Br. Values from VASP.

The structure in Quantum ESPRESSO input format:
```
&SYSTEM
  ibrav = 0, nat = 4, ntyp = 3
/
ATOMIC_SPECIES
Li 6.94 Li.upf
Tl 204.38 Tl.upf
Br 79.90 Br.upf
CELL_PARAMETERS angstrom
3.569 0.000 0.000
0.000 3.569 0.000
0.000 0.000 9.300
ATOMIC_POSITIONS angstrom
Li 0.000 0.000 0.000
Tl 0.000 0.000 5.370
Tl 1.784 1.784 2.998
Br 1.784 1.784 8.810
```

total moment	0.00	μB/cell
formation energy (no corrections)	-0.575	eV per atom
energy above the lowest structure with this stoichiometry	0.02	eV per formula unit